Na3CeSb2S6 | Alexandria via LeMat-Bulk | PBE-GGA | optimized geometry; density of states at the Fermi level = 7.86 states/eV/f.u.; space group = C2/m, No. 12; energy = -4.58 eV per atom; size of the total moment = 1.01 μB/f.u.
1.0
3.515 -6.088 0.000
3.515 6.088 0.000
-2.337 0.000 6.689
Na Ce Sb S
3 1 2 6
direct
0.000 0.000 0.000
0.329 0.671 0.000
0.671 0.329 0.000
0.500 0.500 0.500
0.166 0.834 0.500
0.834 0.166 0.500
0.085 0.424 0.270
0.238 0.238 0.732
0.424 0.085 0.270
0.576 0.915 0.730
0.762 0.762 0.268
0.915 0.576 0.730

***

Zr2InCo2 | Alexandria via LeMat-Bulk | PBE-GGA | optimized geometry; density of states at the Fermi level = 4.68 states/eV/f.u.; space group = P4/mbm, No. 127; energy = -6.81 eV per atom; size of the total moment = 0.00 μB/f.u.
1.0
7.731 0.000 0.000
0.000 7.731 0.000
0.000 0.000 3.050
Zr In Co
4 2 4
direct
0.150 0.350 0.000
0.350 0.850 0.000
0.650 0.150 0.000
0.850 0.650 0.000
0.000 0.000 0.000
0.500 0.500 0.000
0.132 0.632 0.500
0.368 0.132 0.500
0.632 0.868 0.500
0.868 0.368 0.500